[1]
Crystalline VPtN2 at its relaxed geometry, computed with PBE.

POSCAR file:
```
VPtN2
1.0
-1.0705 -2.5277 -0.6763
1.7197 -2.0923 -0.8111
0.8119 -3.4443 5.6788
N Pt V
2 1 1
direct
0.2222 0.2222 0.3335 N
0.7778 0.7778 0.6665 N
0.0000 0.0000 0.0000 Pt
0.5000 0.5000 0.5000 V
```

Output
The density of states at the Fermi level is 0.946 states/eV per atom. The formation energy from raw total energies is 344 meV/atom. For the energy relative to the lowest polymorph listed for this composition, the calculation gives 650 meV per atom.

[2]
Crystalline LaZnRh3 at its relaxed geometry, computed with PBE.

POSCAR file:
```
LaZnRh3
1.0
-0.2193 4.8954 0.3372
-4.8870 -0.1875 -0.4565
-0.4421 -0.3559 4.8790
Zn Rh La
1 3 1
direct
0.5000 0.5000 0.5000 Zn
0.0000 0.5000 0.0000 Rh
0.0000 0.0000 0.5000 Rh
0.5000 0.0000 0.0000 Rh
0.0000 0.0000 0.0000 La
```

Output
The density of states at the Fermi level is 1.212 states/eV per atom. For the formation energy, the calculation gives 1.042 eV per atom. For the energy relative to the lowest polymorph listed for this composition, the calculation gives 1046 meV per atom.

[3]
Crystalline Lu2VCu at its relaxed geometry, computed with PBE.

POSCAR file:
```
Lu2VCu
1.0
-2.6340 0.7590 1.6290
-1.4662 -2.2044 1.7772
4.2728 2.1358 9.0345
Lu Cu V
2 1 1
direct
0.0934 0.0934 0.7198 Lu
0.9066 0.9066 0.2802 Lu
0.5000 0.5000 0.5000 Cu
0.0000 0.0000 0.0000 V
```

Output
The density of states at the Fermi level is 1.549 states/eV per atom. For the formation energy, the calculation gives 0.609 eV per atom. For the energy relative to the lowest polymorph listed for this composition, the calculation gives 572 meV per atom.

[4]
Crystalline SmHo2Sc at its relaxed geometry, computed with PBE.

POSCAR file:
```
SmHo2Sc
1.0
-0.0346 -2.1713 -2.7418
-1.9765 -2.8846 0.0784
-9.2921 4.1009 -5.3612
Sc Ho Sm
1 2 1
direct
0.0000 0.0000 0.0000 Sc
0.7463 0.7463 0.7612 Ho
0.2537 0.2537 0.2388 Ho
0.5000 0.5000 0.5000 Sm
```

Output
The density of states at the Fermi level is 1.514 states/eV per atom. For the formation energy, the calculation gives 0.046 eV per atom. For the energy relative to the lowest polymorph listed for this composition, the calculation gives 16 meV per atom.

[5]
Crystalline LiCa at its relaxed geometry, computed with PBE.

POSCAR file:
```
LiCa
1.0
10.2987 0.0000 0.0000
0.0000 15.7520 0.0000
0.0000 0.0000 6.3544
Li Ca
16 16
direct
0.0000 0.9190 0.0000 Li
0.0000 0.0810 0.0000 Li
0.2500 0.8310 0.2500 Li
0.2500 0.6690 0.2500 Li
0.0000 0.4190 0.5000 Li
0.0000 0.5810 0.5000 Li
0.2500 0.3310 0.7500 Li
0.2500 0.1690 0.7500 Li
0.5000 0.9190 0.5000 Li
0.5000 0.0810 0.5000 Li
0.7500 0.8310 0.7500 Li
0.7500 0.6690 0.7500 Li
0.5000 0.4190 0.0000 Li
0.5000 0.5810 0.0000 Li
0.7500 0.3310 0.2500 Li
0.7500 0.1690 0.2500 Li
0.3317 0.0000 0.0000 Ca
0.6683 0.0000 0.0000 Ca
0.9183 0.7500 0.2500 Ca
0.5817 0.7500 0.2500 Ca
0.3317 0.5000 0.5000 Ca
0.6683 0.5000 0.5000 Ca
0.9183 0.2500 0.7500 Ca
0.5817 0.2500 0.7500 Ca
0.8317 0.0000 0.5000 Ca
0.1683 0.0000 0.5000 Ca
0.4183 0.7500 0.7500 Ca
0.0817 0.7500 0.7500 Ca
0.8317 0.5000 0.0000 Ca
0.1683 0.5000 0.0000 Ca
0.4183 0.2500 0.2500 Ca
0.0817 0.2500 0.2500 Ca
```

Output
The density of states at the Fermi level is 0.850 states/eV per atom. For the formation energy, the calculation gives 0.139 eV per atom. For the energy relative to the lowest polymorph listed for this composition, the calculation gives 127 meV per atom.

[6]
Crystalline Ba2Zn3Cu at its relaxed geometry, computed with PBE.

POSCAR file:
```
Ba2Zn3Cu
1.0
6.1714 0.4278 -2.0344
-1.1651 6.0754 -2.0344
-0.3472 -0.4511 9.1631
Ba Zn Cu
4 6 2
direct
0.2500 0.7500 0.5000 Ba
0.7482 0.7482 0.0000 Ba
0.7500 0.2500 0.5000 Ba
0.2518 0.2518 0.0000 Ba
0.3411 0.8296 0.1707 Zn
0.1704 0.6589 0.8293 Zn
0.6589 0.1704 0.8293 Zn
0.8296 0.3411 0.1707 Zn
0.1701 0.1701 0.3403 Zn
0.8299 0.8299 0.6597 Zn
0.6665 0.6665 0.3330 Cu
0.3335 0.3335 0.6670 Cu
```

Output
The density of states at the Fermi level is 0.546 states/eV per atom. For the formation energy, the calculation gives -0.150 eV per atom.

[7]
Crystalline SmInCuPd at its relaxed geometry, computed with PBE.

POSCAR file:
```
SmInCuPd
1.0
4.8379 0.0000 0.0000
2.4190 4.1898 0.0000
2.4190 1.3966 3.9501
Cu Pd Sm In
1 1 1 1
direct
0.7500 0.7500 0.7500 Cu
0.2500 0.2500 0.2500 Pd
0.0000 0.0000 0.0000 Sm
0.5000 0.5000 0.5000 In
```

Output
The density of states at the Fermi level is 0.907 states/eV per atom. For the formation energy, the calculation gives -0.503 eV per atom.

[8]
Crystalline Tb4HoIn3 at its relaxed geometry, computed with PBE.

POSCAR file:
```
Tb4HoIn3
1.0
5.1568 0.0000 1.5222
2.3537 4.5883 1.5222
-0.0135 -0.0083 9.5416
Tb Ho In
4 1 3
direct
0.8702 0.8702 0.3893 Tb
0.3845 0.3845 0.8465 Tb
0.1298 0.1298 0.6107 Tb
0.6155 0.6155 0.1535 Tb
0.0000 0.0000 0.0000 Ho
0.2617 0.2617 0.2150 In
0.7383 0.7383 0.7850 In
0.5000 0.5000 0.5000 In
```

Output
The density of states at the Fermi level is 1.332 states/eV per atom. For the formation energy, the calculation gives -0.323 eV per atom. For the energy relative to the lowest polymorph listed for this composition, the calculation gives 0 meV per atom.

[9]
Crystalline GdHfGaRh at its relaxed geometry, computed with PBE.

POSCAR file:
```
GdHfGaRh
1.0
-3.5422 -3.2488 -0.5554
0.2992 -4.3037 2.1909
-2.9337 -1.0377 3.7051
Rh Gd Hf Ga
1 1 1 1
direct
0.7500 0.7500 0.7500 Rh
0.0000 0.0000 0.0000 Gd
0.5000 0.5000 0.5000 Hf
0.2500 0.2500 0.2500 Ga
```

Output
The density of states at the Fermi level is 0.672 states/eV per atom. For the formation energy, the calculation gives -0.508 eV per atom.

[10]
Crystalline NbOs2Rh at its relaxed geometry, computed with PBE.

POSCAR file:
```
NbOs2Rh
1.0
0.0000 3.1375 3.1375
3.1375 0.0000 3.1375
3.1375 3.1375 0.0000
Rh Nb Os
1 1 2
direct
0.5000 0.5000 0.5000 Rh
0.0000 0.0000 0.0000 Nb
0.2500 0.2500 0.2500 Os
0.7500 0.7500 0.7500 Os
```

Output
The density of states at the Fermi level is 1.690 states/eV per atom. For the formation energy, the calculation gives 0.243 eV per atom. For the energy relative to the lowest polymorph listed for this composition, the calculation gives 454 meV per atom.

[11]
Crystalline TaBeTe2 at its relaxed geometry, computed with PBE.

POSCAR file:
```
TaBeTe2
1.0
-0.1863 -2.5133 5.1168
1.5278 -5.4728 0.4971
2.0444 4.7958 -2.3138
Be Te Ta
1 2 1
direct
0.5000 0.5000 0.0000 Be
0.0000 0.0000 0.0000 Te
0.2500 0.7500 0.5000 Te
0.7500 0.2500 0.5000 Ta
```

Output
The density of states at the Fermi level is 0.758 states/eV per atom. The formation energy from raw total energies is 742 meV/atom.

[12]
Crystalline NaSmPb at its relaxed geometry, computed with PBE.

POSCAR file:
```
NaSmPb
1.0
5.5319 0.0003 0.0000
-2.7646 4.7915 0.0000
0.0000 0.0000 6.5990
Na Sm Pb
2 2 2
direct
0.0000 0.5000 0.0000 Na
0.0000 0.5000 0.5000 Na
0.6666 0.8334 0.7500 Sm
0.3334 0.1666 0.2500 Sm
0.3332 0.1668 0.7500 Pb
0.6668 0.8332 0.2500 Pb
```

Output
The density of states at the Fermi level is 0.213 states/eV per atom. For the formation energy, the calculation gives -0.395 eV per atom.

[13]
Crystalline MnAgRh at its relaxed geometry, computed with PBE.

POSCAR file:
```
MnAgRh
1.0
-0.9204 -1.3614 -2.3203
2.5280 1.3012 -0.0242
2.9121 -5.6178 2.1410
Ag Mn Rh
1 1 1
direct
0.0000 0.0000 0.0049 Ag
0.3333 0.6667 0.3488 Mn
0.6667 0.3333 0.6463 Rh
```

Output
The density of states at the Fermi level is 0.906 states/eV per atom. For the formation energy, the calculation gives 0.157 eV per atom. For the energy relative to the lowest polymorph listed for this composition, the calculation gives 111 meV per atom.

[14]
Crystalline ScZnTc at its relaxed geometry, computed with PBE.

POSCAR file:
```
ScZnTc
1.0
-2.1715 -0.2135 4.3958
2.9191 -1.2126 3.8297
1.6297 4.0433 2.3885
Sc Zn Tc
2 2 2
direct
0.3111 0.6127 0.2577 Sc
0.6889 0.3873 0.7423 Sc
0.0272 0.2468 0.2241 Zn
0.9728 0.7532 0.7759 Zn
0.6604 0.9371 0.2861 Tc
0.3396 0.0629 0.7139 Tc
```

Output
The density of states at the Fermi level is 0.780 states/eV per atom. For the formation energy, the calculation gives -0.144 eV per atom. For the energy relative to the lowest polymorph listed for this composition, the calculation gives 174 meV per atom.

[15]
Crystalline SbIr2Br at its relaxed geometry, computed with PBE.

POSCAR file:
```
SbIr2Br
1.0
4.1073 0.0609 -0.0056
2.8035 3.0024 -0.0056
1.3998 0.6205 6.5281
Sb Ir Br
1 2 1
direct
0.2500 0.2500 0.2500 Sb
0.9977 0.9977 0.0390 Ir
0.5023 0.5023 0.4610 Ir
0.7500 0.7500 0.7500 Br
```

Output
The density of states at the Fermi level is 0.605 states/eV per atom. The formation energy from raw total energies is 546 meV/atom. For the energy relative to the lowest polymorph listed for this composition, the calculation gives 200 meV per atom.

[16]
Crystalline RbIn4Ag at its relaxed geometry, computed with PBE.

POSCAR file:
```
RbIn4Ag
1.0
-1.4472 -0.6854 -4.5396
-5.6690 -4.9264 2.5511
-4.9628 7.2825 3.0347
Rb In Ag
2 8 2
direct
0.1237 0.2500 0.2474 Rb
0.8763 0.7500 0.7526 Rb
0.5000 0.5000 0.0000 In
0.5000 0.0000 0.0000 In
0.6821 0.9449 0.3641 In
0.3179 0.0551 0.6359 In
0.3179 0.4449 0.6359 In
0.6821 0.5551 0.3641 In
0.0684 0.7500 0.1367 In
0.9316 0.2500 0.8633 In
0.2267 0.7500 0.4534 Ag
0.7733 0.2500 0.5466 Ag
```

Output
The density of states at the Fermi level is 0.445 states/eV per atom. For the formation energy, the calculation gives -0.044 eV per atom. For the energy relative to the lowest polymorph listed for this composition, the calculation gives 0 meV per atom.

[17]
Crystalline IrRh2Pb at its relaxed geometry, computed with PBE.

POSCAR file:
```
IrRh2Pb
1.0
-1.4555 2.3908 4.7966
1.4555 -2.3908 4.7966
1.4555 2.3908 -4.7966
Ir Rh Pb
1 2 1
direct
0.4908 0.4908 0.0000 Ir
0.0053 0.0053 0.0000 Rh
0.2550 0.7550 0.5000 Rh
0.7489 0.2489 0.5000 Pb
```

Output
The density of states at the Fermi level is 1.249 states/eV per atom. For the formation energy, the calculation gives 0.333 eV per atom.

[18]
Crystalline La2Mg5 at its relaxed geometry, computed with PBE.

POSCAR file:
```
La2Mg5
1.0
-7.1704 0.9152 0.3086
-0.8766 -7.3298 1.3700
4.4974 4.4948 6.3528
La Mg
4 10
direct
0.3901 0.6849 0.7803 La
0.6099 0.3151 0.2197 La
0.8901 0.0954 0.7803 La
0.1099 0.9046 0.2197 La
0.1290 0.3809 0.2580 Mg
0.8710 0.6191 0.7420 Mg
0.6290 0.8771 0.2580 Mg
0.3710 0.1229 0.7420 Mg
0.4851 0.7351 0.4702 Mg
0.0149 0.2649 0.5298 Mg
0.5149 0.2649 0.5298 Mg
0.9851 0.7351 0.4702 Mg
0.7500 0.5000 0.0000 Mg
0.2500 0.5000 0.0000 Mg
```

Output
The density of states at the Fermi level is 0.731 states/eV per atom. For the formation energy, the calculation gives -0.055 eV per atom.

[19]
Crystalline Na2SrAgBr5 at its relaxed geometry, computed with PBE.

POSCAR file:
```
Na2SrAgBr5
1.0
4.4175 0.0003 0.0000
-2.2082 9.3641 0.0004
0.0000 0.0007 15.3999
Na Sr Ag Br
4 2 2 10
direct
0.9622 0.9234 0.8965 Na
0.0636 0.1285 0.6554 Na
0.0378 0.0765 0.3965 Na
0.9363 0.8714 0.1555 Na
0.7339 0.4708 0.5263 Sr
0.2661 0.5292 0.0263 Sr
0.6316 0.2605 0.8973 Ag
0.3684 0.7396 0.3975 Ag
0.4293 0.8562 0.0207 Br
0.7770 0.5510 0.8862 Br
0.5223 0.0438 0.7802 Br
0.2190 0.4410 0.6593 Br
0.8963 0.7955 0.5019 Br
0.5707 0.1438 0.5206 Br
0.2231 0.4492 0.3862 Br
0.4777 0.9561 0.2802 Br
0.7809 0.5589 0.1594 Br
0.1037 0.2046 0.0017 Br
```

Output
The density of states at the Fermi level is 0.000 states/eV per atom. The formation energy from raw total energies is -1443 meV/atom.

[20]
Crystalline Tb6Sm2Y at its relaxed geometry, computed with PBE.

POSCAR file:
```
Tb6Sm2Y
1.0
-2.9718 0.1147 -1.7712
-4.3677 -5.8181 6.9517
1.2483 9.9198 1.8039
Tb Sm Y
6 2 1
direct
0.8343 0.0242 0.6679 Tb
0.1657 0.3563 0.3321 Tb
0.1657 0.9758 0.3321 Tb
0.5000 0.3108 0.0000 Tb
0.8343 0.6437 0.6679 Tb
0.5000 0.6892 0.0000 Tb
0.3330 0.3318 0.6636 Sm
0.6670 0.6682 0.3364 Sm
0.0000 0.0000 0.0000 Y
```

Output
The density of states at the Fermi level is 2.204 states/eV per atom. For the formation energy, the calculation gives 0.196 eV per atom. For the energy relative to the lowest polymorph listed for this composition, the calculation gives 86 meV per atom.

[21]
Crystalline SiAsC2 at its relaxed geometry, computed with PBE.

POSCAR file:
```
SiAsC2
1.0
-4.0097 4.4217 1.0008
-2.1117 -2.1081 0.8534
2.9801 -1.2343 4.3250
C As Si
4 2 2
direct
0.8964 0.0000 0.1569 C
0.8964 0.5000 0.6569 C
0.1729 0.0000 0.2842 C
0.1729 0.5000 0.7842 C
0.7200 0.0000 0.4048 As
0.7200 0.5000 0.9048 As
0.3036 0.0000 0.6752 Si
0.3036 0.5000 0.1752 Si
```

Output
The density of states at the Fermi level is 0.174 states/eV per atom. The formation energy from raw total energies is 615 meV/atom. For the energy relative to the lowest polymorph listed for this composition, the calculation gives 63 meV per atom.

[22]
Crystalline SmDyTm4 at its relaxed geometry, computed with PBE.

POSCAR file:
```
SmDyTm4
1.0
-1.7282 -1.7955 2.3588
0.2091 -1.9179 -6.2454
7.9149 -5.1828 1.8576
Sm Dy Tm
1 1 4
direct
0.9973 0.0013 0.5019 Sm
0.4973 0.5013 0.0019 Dy
0.9973 0.5013 0.6704 Tm
0.9972 0.5013 0.3333 Tm
0.4973 0.0013 0.1672 Tm
0.4972 0.0013 0.8365 Tm
```

Output
The density of states at the Fermi level is 1.693 states/eV per atom. For the formation energy, the calculation gives 0.074 eV per atom. For the energy relative to the lowest polymorph listed for this composition, the calculation gives 0 meV per atom.

[23]
Crystalline Ce3Sm2Os2 at its relaxed geometry, computed with PBE.

POSCAR file:
```
Ce3Sm2Os2
1.0
3.9156 0.0000 0.0000
-1.9578 5.8427 -0.2826
0.0000 -3.0386 8.0717
Ce Sm Os
3 2 2
direct
0.5000 0.0000 0.0000 Ce
0.6198 0.2396 0.4407 Ce
0.3802 0.7604 0.5593 Ce
0.8399 0.6798 0.1922 Sm
0.1601 0.3202 0.8078 Sm
0.8542 0.7084 0.7676 Os
0.1458 0.2916 0.2324 Os
```

Output
The density of states at the Fermi level is 1.769 states/eV per atom. For the formation energy, the calculation gives -0.152 eV per atom.

[24]
Crystalline Li2MgIn4 at its relaxed geometry, computed with PBE.

POSCAR file:
```
Li2MgIn4
1.0
6.2571 0.0000 0.0000
0.0000 8.6574 -3.9305
0.0000 -1.7815 7.3677
Li Mg In
4 2 8
direct
0.0007 0.6263 0.2517 Li
0.9993 0.3737 0.7483 Li
0.5007 0.8737 0.7483 Li
0.4993 0.1263 0.2517 Li
0.0000 0.0000 0.0000 Mg
0.5000 0.5000 0.0000 Mg
0.7496 0.7500 0.9998 In
0.7498 0.5004 0.4997 In
0.7502 0.0004 0.4997 In
0.7504 0.2500 0.9998 In
0.2496 0.7500 0.0002 In
0.2498 0.9996 0.5003 In
0.2502 0.4996 0.5003 In
0.2504 0.2500 0.0002 In
```

Output
The density of states at the Fermi level is 0.347 states/eV per atom. For the formation energy, the calculation gives -0.046 eV per atom. For the energy relative to the lowest polymorph listed for this composition, the calculation gives 0 meV per atom.

[25]
Crystalline CeMgTlGe at its relaxed geometry, computed with PBE.

POSCAR file:
```
CeMgTlGe
1.0
5.1442 0.0000 0.0000
2.5721 4.4550 0.0000
2.5721 1.4850 4.2002
Mg Tl Ge Ce
1 1 1 1
direct
0.5000 0.5000 0.5000 Mg
0.2500 0.2500 0.2500 Tl
0.7500 0.7500 0.7500 Ge
0.0000 0.0000 0.0000 Ce
```

Output
The density of states at the Fermi level is 1.065 states/eV per atom. For the formation energy, the calculation gives -0.280 eV per atom.